[1]
{
  "formula": "Ho2BeIr",
  "functional": "GGA-PBE",
  "state": "relaxed",
  "lattice": [[6.8188, 0.0000, 0.0000], [0.0000, 6.8188, 0.0000], [0.0000, 0.0000, 6.8188]],
  "species": ["Ho", "Ho", "Ho", "Ho", "Ho", "Ho", "Ho", "Ho", "Be", "Be", "Be", "Be", "Ir", "Ir", "Ir", "Ir"],
  "fractional_positions": [[0.2500, 0.2500, 0.2500], [0.2500, 0.2500, 0.7500], [0.2500, 0.7500, 0.2500], [0.2500, 0.7500, 0.7500], [0.7500, 0.2500, 0.2500], [0.7500, 0.2500, 0.7500], [0.7500, 0.7500, 0.2500], [0.7500, 0.7500, 0.7500], [0.0000, 0.0000, 0.0000], [0.0000, 0.5000, 0.5000], [0.5000, 0.0000, 0.5000], [0.5000, 0.5000, 0.0000], [0.0000, 0.0000, 0.5000], [0.0000, 0.5000, 0.0000], [0.5000, 0.0000, 0.0000], [0.5000, 0.5000, 0.5000]],
  "final_energy_ev_per_fu": -23.5,
  "formation_enthalpy_0k_kcal_per_mol_atoms": -9.910,
  "m_tot_mub_per_fu": 0.0,
  "space_group": "No. 225",
  "relative_energy_mev_per_atom": 124.8
}

***

[2]
{
  "formula": "NaCaMo2Br",
  "functional": "GGA-PBE",
  "state": "relaxed",
  "lattice": [[4.7319, 0.0000, 0.0000], [0.0000, 4.7319, 0.0000], [0.0000, 0.0000, 5.5008]],
  "species": ["Na", "Ca", "Mo", "Mo", "Br"],
  "fractional_positions": [[0.0000, 0.0000, 0.0000], [0.5000, 0.5000, 0.0000], [0.0000, 0.5000, 0.5000], [0.5000, 0.0000, 0.5000], [0.5000, 0.5000, 0.5000]],
  "final_energy_ev_per_fu": -21.0,
  "m_tot_mub_per_fu": 1.2,
  "space_group": "No. 123",
  "e_form_raw_mev_per_atom": 1122
}

***

[3]
{
  "formula": "Pr4Dy3",
  "functional": "GGA-PBE",
  "state": "relaxed",
  "lattice": [[17.1531, 0.0000, 0.0000], [0.0000, 3.5359, 0.0000], [-4.0226, 0.0000, 7.9631]],
  "species": ["Pr", "Pr", "Pr", "Pr", "Pr", "Pr", "Pr", "Pr", "Dy", "Dy", "Dy", "Dy", "Dy", "Dy"],
  "fractional_positions": [[0.0796, 0.0000, 0.2067], [0.1393, 0.5000, 0.9064], [0.3607, 0.0000, 0.0936], [0.4204, 0.5000, 0.7933], [0.5796, 0.5000, 0.2067], [0.6393, 0.0000, 0.9064], [0.8607, 0.5000, 0.0936], [0.9204, 0.0000, 0.7933], [0.0000, 0.0000, 0.5000], [0.2205, 0.0000, 0.6429], [0.2795, 0.5000, 0.3571], [0.5000, 0.5000, 0.5000], [0.7205, 0.5000, 0.6429], [0.7795, 0.0000, 0.3571]],
  "final_energy_ev_per_fu": -32.0,
  "formation_enthalpy_0k_kcal_per_mol_atoms": 2.919,
  "m_tot_mub_per_fu": 0.0,
  "space_group": "No. 12",
  "relative_energy_mev_per_atom": 20.3
}

***

[4]
{
  "formula": "MgTl2AsF6",
  "functional": "GGA-PBE",
  "state": "relaxed",
  "lattice": [[5.3657, 0.0000, 0.0000], [0.0211, 5.7395, 0.0000], [1.8915, 2.4735, 5.6353]],
  "species": ["Mg", "Tl", "Tl", "As", "F", "F", "F", "F", "F", "F"],
  "fractional_positions": [[0.0000, 0.0000, 0.0000], [0.2464, 0.7428, 0.5202], [0.7536, 0.2572, 0.4798], [0.5000, 0.5000, 0.0000], [0.1820, 0.6783, 0.0983], [0.2326, 0.1205, 0.6675], [0.2507, 0.1795, 0.0978], [0.7493, 0.8205, 0.9022], [0.7674, 0.8795, 0.3325], [0.8180, 0.3217, 0.9017]],
  "final_energy_ev_per_fu": -44.4,
  "m_tot_mub_per_fu": 1.0,
  "space_group": "No. 2",
  "e_form_raw_mev_per_atom": -2223
}

***

[5]
{
  "formula": "AcY5Au6",
  "functional": "GGA-PBE",
  "state": "relaxed",
  "lattice": [[5.1789, 0.0000, 0.0000], [0.0000, 7.2802, 0.0000], [-2.5601, 0.0000, 7.8270]],
  "species": ["Ac", "Y", "Y", "Y", "Y", "Y", "Au", "Au", "Au", "Au", "Au", "Au"],
  "fractional_positions": [[0.0000, 0.0000, 0.0000], [0.0000, 0.5000, 0.0000], [0.3299, 0.0000, 0.6607], [0.3338, 0.5000, 0.6692], [0.6662, 0.5000, 0.3308], [0.6701, 0.0000, 0.3393], [0.1762, 0.2582, 0.3491], [0.1762, 0.7418, 0.3491], [0.5000, 0.2717, 0.0000], [0.5000, 0.7283, 0.0000], [0.8238, 0.2582, 0.6509], [0.8238, 0.7418, 0.6509]],
  "final_energy_ev_per_fu": -66.0,
  "formation_enthalpy_0k_kcal_per_mol_atoms": -18.959,
  "m_tot_mub_per_fu": 0.0,
  "space_group": "No. 10"
}

***

[6]
{
  "formula": "HoThTc2",
  "functional": "GGA-PBE",
  "state": "relaxed",
  "lattice": [[6.9358, 0.0000, 0.0000], [0.0000, 6.9358, 0.0000], [0.0000, 0.0000, 6.9358]],
  "species": ["Ho", "Ho", "Ho", "Ho", "Th", "Th", "Th", "Th", "Tc", "Tc", "Tc", "Tc", "Tc", "Tc", "Tc", "Tc"],
  "fractional_positions": [[0.0000, 0.0000, 0.0000], [0.0000, 0.5000, 0.5000], [0.5000, 0.0000, 0.5000], [0.5000, 0.5000, 0.0000], [0.0000, 0.0000, 0.5000], [0.0000, 0.5000, 0.0000], [0.5000, 0.0000, 0.0000], [0.5000, 0.5000, 0.5000], [0.2500, 0.2500, 0.2500], [0.2500, 0.2500, 0.7500], [0.2500, 0.7500, 0.2500], [0.2500, 0.7500, 0.7500], [0.7500, 0.2500, 0.2500], [0.7500, 0.2500, 0.7500], [0.7500, 0.7500, 0.2500], [0.7500, 0.7500, 0.7500]],
  "final_energy_ev_per_fu": -32.9,
  "formation_enthalpy_0k_kcal_per_mol_atoms": -0.849,
  "m_tot_mub_per_fu": 0.0,
  "space_group": "No. 225",
  "relative_energy_mev_per_atom": 0.0
}